! Ac2Pr2Tl5 | Alexandria | PBE | relaxed; values from VASP
&SYSTEM
  ibrav = 0, nat = 18, ntyp = 3
/
ATOMIC_SPECIES
Pr 140.91 Pr.upf
Ac 227.00 Ac.upf
Tl 204.38 Tl.upf
ATOMIC_POSITIONS crystal
Pr 0.8396 0.3412 0.0000
Pr 0.6604 0.8412 0.0000
Pr 0.1604 0.6588 0.0000
Pr 0.3396 0.1588 0.0000
Ac 0.5000 0.7015 0.4030
Ac 0.5000 0.2985 0.5970
Ac 0.0000 0.7985 0.5970
Ac 0.0000 0.2015 0.4030
Tl 0.1399 0.2327 0.7478
Tl 0.1399 0.4849 0.2522
Tl 0.0000 0.0000 0.0000
Tl 0.6399 0.2673 0.2522
Tl 0.3601 0.7327 0.7478
Tl 0.5000 0.5000 0.0000
Tl 0.8601 0.5151 0.7478
Tl 0.6399 0.0151 0.7478
Tl 0.8601 0.7673 0.2522
Tl 0.3601 0.9849 0.2522
CELL_PARAMETERS angstrom
8.4902 0.0000 0.0000
0.0000 8.4197 0.0000
0.0000 -4.2099 8.7427
! Theoretical density, g/cm3: 9.3
! Raw total energy, eV per atom: -3.56
! Formation energy from the elements, eV per atom: -0.274
! Space-group type: No. 64



! Ac3Pr3Tl2 | Alexandria | PBE | relaxed; values from VASP
&SYSTEM
  ibrav = 0, nat = 16, ntyp = 3
/
ATOMIC_SPECIES
Ac 227.00 Ac.upf
Pr 140.91 Pr.upf
Tl 204.38 Tl.upf
ATOMIC_POSITIONS crystal
Ac 0.9494 0.8988 0.1115
Ac 0.3289 0.6578 0.7500
Ac 0.6711 0.3422 0.2500
Ac 0.9494 0.8988 0.3885
Ac 0.0506 0.1012 0.6115
Ac 0.0506 0.1012 0.8885
Pr 0.3915 0.7830 0.2500
Pr 0.6345 0.2690 0.0356
Pr 0.3655 0.7310 0.9644
Pr 0.6085 0.2170 0.7500
Pr 0.3655 0.7310 0.5356
Pr 0.6345 0.2690 0.4644
Tl 0.7709 0.5418 0.6168
Tl 0.2291 0.4582 0.1168
Tl 0.7709 0.5418 0.8832
Tl 0.2291 0.4582 0.3832
CELL_PARAMETERS angstrom
5.2112 0.0000 0.0000
-2.6056 6.5235 0.0000
0.0000 0.0000 17.7923
! Theoretical density, g/cm3: 8.3
! Raw total energy, eV per atom: -4.04
! Formation energy from the elements, eV per atom: -0.119
! Space-group type: No. 63



! Ac15Pr4Tl | Alexandria | PBE | relaxed; values from VASP
&SYSTEM
  ibrav = 0, nat = 20, ntyp = 3
/
ATOMIC_SPECIES
Pr 140.91 Pr.upf
Ac 227.00 Ac.upf
Tl 204.38 Tl.upf
ATOMIC_POSITIONS crystal
Pr 0.0000 0.0000 0.8022
Pr 0.0000 0.0000 0.3999
Pr 0.0000 0.0000 0.6001
Pr 0.0000 0.0000 0.1978
Ac 0.0000 0.5000 0.2984
Ac 0.5000 0.0000 0.2984
Ac 0.5000 0.5000 0.8019
Ac 0.5000 0.0000 0.9027
Ac 0.0000 0.5000 0.5000
Ac 0.5000 0.5000 0.3990
Ac 0.5000 0.5000 0.0000
Ac 0.5000 0.0000 0.7016
Ac 0.5000 0.0000 0.0973
Ac 0.5000 0.5000 0.6010
Ac 0.5000 0.5000 0.1981
Ac 0.0000 0.5000 0.9027
Ac 0.5000 0.0000 0.5000
Ac 0.0000 0.5000 0.0973
Ac 0.0000 0.5000 0.7016
Tl 0.0000 0.0000 0.0000
CELL_PARAMETERS angstrom
5.5113 0.0000 0.0000
0.0000 5.5113 0.0000
0.0000 0.0000 27.6945
! Theoretical density, g/cm3: 8.2
! Raw total energy, eV per atom: -4.16
! Formation energy from the elements, eV per atom: -0.007
! Space-group type: No. 123



! AcPr7Tl4 | Alexandria | PBE | relaxed; values from VASP
&SYSTEM
  ibrav = 0, nat = 12, ntyp = 3
/
ATOMIC_SPECIES
Tl 204.38 Tl.upf
Pr 140.91 Pr.upf
Ac 227.00 Ac.upf
ATOMIC_POSITIONS crystal
Tl 0.5557 0.2532 0.6353
Tl 0.4443 0.7468 0.3647
Tl 0.3097 0.3328 0.0477
Tl 0.6903 0.6672 0.9523
Pr 0.7195 0.3471 0.2139
Pr 0.0590 0.6087 0.2733
Pr 0.7947 0.8822 0.5284
Pr 0.2805 0.6529 0.7861
Pr 0.5000 0.0000 0.0000
Pr 0.9410 0.3913 0.7267
Pr 0.2053 0.1178 0.4716
Ac 0.0000 0.0000 0.0000
CELL_PARAMETERS angstrom
-0.5650 3.5485 -4.9606
5.7003 -3.5339 -6.9588
-5.0053 -3.1283 -5.4493
! Theoretical density, g/cm3: 8.2
! Raw total energy, eV per atom: -3.98
! Formation energy from the elements, eV per atom: -0.061
! Space-group type: No. 12



! Ac2PrTl5 | Alexandria | PBE | relaxed; values from VASP
&SYSTEM
  ibrav = 0, nat = 8, ntyp = 3
/
ATOMIC_SPECIES
Pr 140.91 Pr.upf
Tl 204.38 Tl.upf
Ac 227.00 Ac.upf
ATOMIC_POSITIONS crystal
Pr 0.0000 0.0000 0.0000
Tl 0.5000 0.5000 0.0000
Tl 0.8863 0.3863 0.7726
Tl 0.1137 0.6137 0.2274
Tl 0.3863 0.8863 0.7726
Tl 0.6137 0.1137 0.2274
Ac 0.7390 0.7390 0.4780
Ac 0.2610 0.2610 0.5220
CELL_PARAMETERS angstrom
-2.8171 4.7575 -1.5443
-2.4949 -2.8726 -4.2987
-3.2734 -2.9097 7.6774
! Theoretical density, g/cm3: 10.4
! Raw total energy, eV per atom: -3.38
! Formation energy from the elements, eV per atom: -0.273
! Space-group type: No. 139



! AcPr12Tl6 | Alexandria | PBE | relaxed; values from VASP
&SYSTEM
  ibrav = 0, nat = 19, ntyp = 3
/
ATOMIC_SPECIES
Pr 140.91 Pr.upf
Tl 204.38 Tl.upf
Ac 227.00 Ac.upf
ATOMIC_POSITIONS crystal
Pr 0.5000 0.1101 0.8899
Pr 0.1101 0.8899 0.5000
Pr 0.4347 0.1712 0.4347
Pr 0.8899 0.5000 0.1101
Pr 0.4347 0.4347 0.1712
Pr 0.1101 0.5000 0.8899
Pr 0.5653 0.5653 0.8288
Pr 0.5653 0.8288 0.5653
Pr 0.5000 0.8899 0.1101
Pr 0.1712 0.4347 0.4347
Pr 0.8288 0.5653 0.5653
Pr 0.8899 0.1101 0.5000
Tl 0.2545 0.7198 0.2545
Tl 0.7455 0.2802 0.7455
Tl 0.2802 0.7455 0.7455
Tl 0.7198 0.2545 0.2545
Tl 0.7455 0.7455 0.2802
Tl 0.2545 0.2545 0.7198
Ac 0.0000 0.0000 0.0000
CELL_PARAMETERS angstrom
9.0736 0.1279 0.1801
-2.1253 8.8221 0.1801
-2.1253 -2.7376 8.3885
! Theoretical density, g/cm3: 7.6
! Raw total energy, eV per atom: -4.04
! Formation energy from the elements, eV per atom: -0.060
! Space-group type: No. 166